Mo2PH | Alexandria | PBE | relaxed; space group = Fm-3m (225); calculated volume = 48.2 Å³/cell; energy relative to the lowest polymorph listed for this composition = 481 meV per atom; crystal system = cubic; total magnetic moment = 0.00 μB per formula unit
1.0
2.621 -2.883 -1.225
-1.379 -3.696 -1.058
0.073 -1.164 -3.914
P Mo H
1 2 1
Direct
0.500 0.500 0.500 P
0.250 0.250 0.250 Mo
0.750 0.750 0.750 Mo
0.000 0.000 0.000 H

=====

Mo2PH | Alexandria | PBE | relaxed; space group = I-42d (122); calculated volume = 110.1 Å³/cell; energy relative to the lowest polymorph listed for this composition = 547 meV per atom; crystal system = tetragonal; total magnetic moment = 0.00 μB per formula unit
1.0
-0.420 -2.846 3.783
3.962 -2.290 -1.283
4.428 0.549 3.890
P Mo H
2 4 2
Direct
0.000 0.000 0.000 P
0.750 0.250 0.500 P
0.533 0.125 0.250 Mo
0.217 0.625 0.250 Mo
0.375 0.467 0.750 Mo
0.875 0.783 0.750 Mo
0.500 0.500 0.000 H
0.250 0.750 0.500 H

=====

Mo2PHPt | Alexandria | PBE | relaxed; space group = P4/mmm (123); calculated volume = 62.9 Å³/cell; E = -7.0910 eV per atom; crystal system = tetragonal; total magnetic moment = 0.00 μB per formula unit
1.0
3.853 0.000 0.000
0.000 4.239 0.000
0.000 0.000 3.853
P Mo Pt H
1 2 1 1
Direct
0.500 0.500 0.500 P
0.000 0.000 0.500 Mo
0.500 0.000 0.000 Mo
0.000 0.500 0.000 Pt
0.000 0.000 0.000 H

=====

MoPHRu2 | Alexandria | PBE | relaxed; space group = P4/mmm (123); calculated volume = 83.6 Å³/cell; E = -6.4200 eV per atom; crystal system = tetragonal; total magnetic moment = 0.84 μB per formula unit
1.0
-1.675 -3.975 -0.127
2.309 -1.091 3.691
-3.299 1.313 2.452
Ru Mo H P
2 1 1 1
Direct
0.000 0.000 0.500 Ru
0.500 0.000 0.000 Ru
0.000 0.500 0.000 Mo
0.500 0.500 0.500 H
0.000 0.000 0.000 P